(1)
First-principles (PBE-GGA) data for a geometry-optimized BaAcPb structure, as listed in Alexandria.

## Properties
ΔH_f (0 K): -12 kJ/mol of atoms
total magnetization: 0.0 μB per cell
crystal system: orthorhombic
E above lowest polymorph: 323.2 meV/atom
total energy: -3.37 eV/atom

Cell lengths 3.931, 20.208, 6.916 Å; angles 90.00, 90.00, 90.00 degrees
Space group Cmcm (No. 63)
Symmetry-distinct sites (fractional):
Ba 0.000 0.175 0.250 x4
Ac 0.000 0.500 0.000 x4
Pb 0.000 0.353 0.250 x4


(2)
First-principles (PBE-GGA) data for a geometry-optimized CsNpSn2Br8 structure, as listed in Alexandria.

## Properties
formation energy (no corrections): -1101 meV per atom
total magnetization: 4.0 μB per cell
crystal system: triclinic
total energy: -4.03 eV/atom

Cell lengths 6.974, 7.329, 9.865 Å; angles 83.81, 86.07, 87.07 degrees
Space group P-1 (No. 2)
Symmetry-distinct sites (fractional):
Cs 0.000 0.000 0.000 x1
Np 0.000 0.000 0.500 x1
Sn 0.481 0.484 0.251 x2
Br 0.235 0.325 0.469 x2
Br 0.250 0.841 0.295 x2
Br 0.260 0.855 0.706 x2
Br 0.261 0.399 0.055 x2


(3)
First-principles (PBE-GGA) data for a geometry-optimized FePAu2 structure, as listed in Alexandria.

## Properties
ΔH_f (0 K): 1 kJ/mol of atoms
total magnetization: 0.0 μB per cell
crystal system: orthorhombic
total energy: -5.10 eV/atom

Cell lengths 2.818, 2.895, 14.921 Å; angles 90.00, 90.00, 90.00 degrees
Space group Amm2 (No. 38)
Symmetry-distinct sites (fractional):
Fe 0.000 0.000 0.000 x2
P 0.500 0.000 0.433 x2
Au 0.000 0.000 0.284 x2
Au 0.500 0.000 0.635 x2


> Look up the total magnetization of the second one.

4.0 μB per cell